TbBAsO after structural relaxation. Source: OQMD, functional PBE-GGA.

Values from the calculation:
Total moment: 0.0 μB/f.u.
Energy above the lowest structure with this stoichiometry: 0.00 eV per formula unit

Unit cell a=4.013 b=4.013 c=7.246 alpha=90.00 beta=90.00 gamma=90.00
Space group P4/nmm (No. 129, origin choice 2)
Inequivalent atoms, fractional coordinates:
Tb (0.250, 0.250, 0.148) [2 per cell]
B (0.250, 0.750, 0.500) [2 per cell]
As (0.250, 0.250, 0.624) [2 per cell]
O (0.250, 0.750, 0.000) [2 per cell]